Below is SrAl2Mo after structural relaxation, with properties calculated at the GGA-PBE level.

Its energy relative to the lowest polymorph listed for this composition is 360 meV per atom. The total magnetization is 0.10 μB per formula unit. For the density of states at the Fermi level, the calculation gives 3.41 states/eV/f.u. Its energy of formation is 0.38 eV/atom.

The space group is Immm (No. 71) and the conventional cell measures 4.412, 4.470 and 8.151 Å, with angles of 90.00, 90.00 and 90.00 degrees. The asymmetric unit holds Sr at (0.000, 0.000, 0.000), Al at (0.000, 0.500, 0.248) and Mo at (0.000, 0.000, 0.500).


Below is SrAlMo2 after structural relaxation, with properties calculated at the GGA-PBE level.

The total magnetization is 0.00 μB per formula unit. For the density of states at the Fermi level, the calculation gives 5.16 states/eV/f.u. Its energy of formation is 0.77 eV/atom.

The space group is R-3m (No. 166, hexagonal axes) and the conventional cell measures 2.9442, 2.9442 and 30.3307 Å, with angles of 90.00, 90.00 and 120.00 degrees. The asymmetric unit holds Sr at (0.0000, 0.0000, 0.0000), Al at (0.0000, 0.0000, 0.5000) and Mo at (0.0000, 0.0000, 0.2389).


Below is Sr2AlMo after structural relaxation, with properties calculated at the GGA-PBE level.

The total magnetization is 0.00 μB per formula unit. For the density of states at the Fermi level, the calculation gives 4.30 states/eV/f.u. Its energy of formation is 0.71 eV/atom.

The space group is P4/mmm (No. 123) and the conventional cell measures 3.150, 3.150 and 10.338 Å, with angles of 90.00, 90.00 and 90.00 degrees. The asymmetric unit holds Sr at (0.000, 0.000, 0.246), Al at (0.500, 0.500, 0.500) and Mo at (0.500, 0.500, 0.000).